Density functional theory data (GGA-PBE) for an optimized crystal structure of Sr7Bi2Sb2.

Unit cell a=7.9136 b=7.9142 c=7.9136 alpha=90.00 beta=96.22 gamma=90.00
Closest atoms and distances in Å follow each position.
Atoms (fractional coordinates):
Sr (0.5003, 0.7431, 0.9998)  2 Sb 3.35, 2 Bi 3.52-3.53
Sr (0.0000, 0.0000, 0.0000)  2 Sb 3.24
Sr (0.0002, 0.7431, 0.4997)  2 Sb 3.35, 2 Bi 3.52-3.53
Sr (0.9998, 0.2569, 0.5003)  2 Sb 3.35, 2 Bi 3.52-3.53
Sr (0.4997, 0.2569, 0.0002)  2 Sb 3.35, 2 Bi 3.52-3.53
Sr (0.4998, 0.2534, 0.5002)  2 Sb 3.32-3.33, 2 Bi 3.47
Sr (0.5002, 0.7466, 0.4998)  2 Sb 3.32-3.33, 2 Bi 3.47
Bi (0.2280, 0.5000, 0.2280)  6 Sr 3.47-3.53
Bi (0.7720, 0.5000, 0.7720)  6 Sr 3.47-3.53
Sb (0.2751, 0.0000, 0.7249)  7 Sr 3.24-3.35
Sb (0.7249, 0.0000, 0.2751)  7 Sr 3.24-3.35

Values from the calculation:
uncorrected formation energy: -731.5 meV per atom
Fermi-level density of states: 5.3 states/eV/cell
space group: No. 65
calculated density: 4.3 g/cm³